Below is a relaxed NdDy2ErMg crystal, with properties calculated at the GGA-PBE level.

a = 5.5961 Å, b = 6.1593 Å, c = 9.4066 Å
α = 70.66°, β = 90.00°, γ = 90.00°
Positions (direct):
Nd1 0.7500 0.3504 0.6126
Nd2 0.2500 0.6496 0.3874
Dy1 0.7500 0.7506 0.7999
Dy2 0.2500 0.2494 0.2001
Dy3 0.2500 0.0181 0.6054
Dy4 0.7500 0.9819 0.3946
Er1 0.2500 0.8386 0.0006
Er2 0.7500 0.1614 0.9994
Mg1 0.7500 0.5754 0.1921
Mg2 0.2500 0.4246 0.8079

Computed properties:
Energy of formation in kJ/mol of formula units: 7.9
Crystal system: monoclinic
Space-group type: P2_1/m, No. 11
Calculated volume in A^3/atom: 30.59

***

Below is a relaxed Ho3P crystal, with properties calculated at the GGA-PBE level.

a = 3.6871 Å, b = 6.2070 Å, c = 5.9331 Å
α = 121.54°, β = 108.10°, γ = 90.00°
Positions (direct):
P1 0.0000 0.0665 0.0000
Ho1 0.3093 0.6654 0.6186
Ho2 0.5000 0.3879 0.0000
Ho3 0.6907 0.0468 0.3814

Computed properties:
Energy of formation in kJ/mol of formula units: -228.4
Crystal system: orthorhombic
Space-group type: Imm2, No. 44
Calculated volume in A^3/atom: 26.94

***

Below is a relaxed TbNd3S crystal, with properties calculated at the GGA-PBE level.

a = 5.4994 Å, b = 5.4994 Å, c = 5.4994 Å
α = 90.00°, β = 90.00°, γ = 90.00°
Positions (direct):
Nd1 0.0000 0.5000 0.0000
Nd2 0.0000 0.0000 0.5000
Nd3 0.5000 0.0000 0.0000
S1 0.0000 0.0000 0.0000
Tb1 0.5000 0.5000 0.5000

Computed properties:
Crystal system: cubic
Space-group type: Pm-3m, No. 221
Formation energy from raw total energies in eV/atom: -0.663
Calculated volume in A^3/atom: 33.26

***

Below is a relaxed ReAgN2O crystal, with properties calculated at the GGA-PBE level.

a = 4.0268 Å, b = 4.0268 Å, c = 3.9237 Å
α = 90.00°, β = 90.00°, γ = 90.00°
Positions (direct):
Re1 0.5000 0.5000 0.5000
O1 0.0000 0.0000 0.5000
Ag1 0.0000 0.0000 0.0000
N1 0.0000 0.5000 0.0000
N2 0.5000 0.0000 0.0000

Computed properties:
Crystal system: tetragonal
Space-group type: P4/mmm, No. 123
Formation energy from raw total energies in eV/atom: 2.316
Calculated volume in A^3/atom: 12.72

***

Below is a relaxed AcNdMgBi crystal, with properties calculated at the GGA-PBE level.

a = 5.7223 Å, b = 5.7223 Å, c = 5.7223 Å
α = 60.00°, β = 60.00°, γ = 60.00°
Positions (direct):
Mg1 0.7500 0.7500 0.7500
Ac1 0.0000 0.0000 0.0000
Nd1 0.5000 0.5000 0.5000
Bi1 0.2500 0.2500 0.2500

Computed properties:
Energy of formation in kJ/mol of formula units: -133.6
Crystal system: cubic
Space-group type: F-43m, No. 216
Calculated volume in A^3/atom: 33.12

***

Below is a relaxed La4Nd5Cd crystal, with properties calculated at the GGA-PBE level.

a = 3.7424 Å, b = 3.7424 Å, c = 24.6973 Å
α = 90.00°, β = 90.00°, γ = 90.00°
Positions (direct):
La1 0.0000 0.0000 0.1860
La2 0.0000 0.0000 0.3958
La3 0.0000 0.0000 0.6042
La4 0.0000 0.0000 0.8140
Nd1 0.5000 0.5000 0.0828
Nd2 0.5000 0.5000 0.2909
Nd3 0.5000 0.5000 0.5000
Nd4 0.5000 0.5000 0.7091
Nd5 0.5000 0.5000 0.9172
Cd1 0.0000 0.0000 0.0000

Computed properties:
Energy of formation in kJ/mol of formula units: -55.3
Crystal system: tetragonal
Space-group type: P4/mmm, No. 123
Calculated volume in A^3/atom: 34.59

***

Below is a relaxed HoZrTe2 crystal, with properties calculated at the GGA-PBE level.

a = 3.6481 Å, b = 3.6481 Å, c = 7.3679 Å
α = 90.00°, β = 90.00°, γ = 90.00°
Positions (direct):
Te1 0.0000 0.0000 0.7638
Te2 0.0000 0.0000 0.2362
Ho1 0.5000 0.5000 0.5000
Zr1 0.5000 0.5000 0.0000

Computed properties:
Crystal system: tetragonal
Space-group type: P4/mmm, No. 123
Formation energy from raw total energies in eV/atom: -0.928
Calculated volume in A^3/atom: 24.51

***

Below is a relaxed Pr2HPdPt6 crystal, with properties calculated at the GGA-PBE level.

a = 5.6316 Å, b = 7.2905 Å, c = 7.2905 Å
α = 45.44°, β = 67.28°, γ = 90.00°
Positions (direct):
Pr1 0.7132 0.2868 0.5735
Pr2 0.2868 0.7132 0.4265
H1 0.5000 0.5000 0.0000
Pd1 0.0000 0.0000 0.0000
Pt1 0.2716 0.2211 0.4567
Pt2 0.7789 0.7284 0.9494
Pt3 0.2716 0.7284 0.9493
Pt4 0.7284 0.2716 0.0507
Pt5 0.2211 0.2716 0.0506
Pt6 0.7284 0.7789 0.5433

Computed properties:
Crystal system: trigonal
Space-group type: R-3m, No. 166
Calculated volume in A^3/atom: 17.92

***

Number 1: final energy -0.147 hartree per atom. Number 2: final energy -0.198 hartree per atom. Number 3: final energy -0.194 hartree per atom. Number 4: final energy -0.186 hartree per atom. Number 5: final energy -0.145 hartree per atom. Number 6: final energy -0.166 hartree per atom. Number 7: final energy -0.212 hartree per atom. Number 8: final energy -0.224 hartree per atom.